# PBE+U LiWNO2, optimized geometry
data_LiWNO2
_cell_length_a 3.397
_cell_length_b 3.397
_cell_length_c 3.617
_cell_angle_alpha 90.00
_cell_angle_beta 90.00
_cell_angle_gamma 90.00
_space_group_name_H-M_alt 'P 1'
_space_group_IT_number 1
loop_
_space_group_symop_operation_xyz
'x,y,z'
loop_
_atom_site_label
_atom_site_fract_x
_atom_site_fract_y
_atom_site_fract_z
Li1 0.000 0.000 0.000
W1 0.500 0.500 0.500
N1 0.000 0.000 0.500
O1 0.000 0.500 0.000
O2 0.500 0.000 0.000
# symmetry = P4/mmm (123)
# E = -25.37 eV for the cell shown
# crystal system = tetragonal
# D(E_F) = 3.71 states/eV/f.u.
# spin magnetization = 0.001 μB per atom